Compound: Ti3NbBr
Source: Alexandria
Functional: PBE
Structure: optimized geometry

Results
For the magnetic moment, the calculation gives 2.46 μB/f.u. The value obtained for the total energy is -0.22312 hartree per atom. The calculation puts the relative energy among the computed polymorphs at 446 meV per atom.

Unit cell a=4.9187 b=4.9187 c=4.9187 alpha=90.00 beta=90.00 gamma=90.00
Fractional coordinates of all 5 atoms:
Ti 0.0000 0.0000 0.5000
Ti 0.0000 0.5000 0.0000
Ti 0.5000 0.0000 0.0000
Nb 0.0000 0.0000 0.0000
Br 0.5000 0.5000 0.5000

Compound: CrTe2Ru
Source: Alexandria
Functional: PBE
Structure: optimized geometry

Results
For the magnetic moment, the calculation gives 3.00 μB/f.u. The value obtained for the total energy is -0.22042 hartree per atom. The calculation puts the relative energy among the computed polymorphs at 350 meV per atom.

Unit cell a=4.7539 b=4.7539 c=3.3455 alpha=90.00 beta=90.00 gamma=90.00
Fractional coordinates of all 4 atoms:
Cr 0.0000 0.0000 0.0000
Te 0.0000 0.5000 0.5000
Te 0.5000 0.0000 0.5000
Ru 0.5000 0.5000 0.0000

Compound: CaIn2NiBi
Source: Alexandria
Functional: PBE
Structure: optimized geometry

Results
For the magnetic moment, the calculation gives 0.00 μB/f.u. The value obtained for the total energy is -0.13447 hartree per atom. As for the formation energy: -0.231 eV per atom.

Unit cell a=4.9579 b=4.9579 c=5.4203 alpha=90.00 beta=90.00 gamma=90.00
Fractional coordinates of all 5 atoms:
Ca 0.0000 0.0000 0.0000
In 0.0000 0.5000 0.5000
In 0.5000 0.0000 0.5000
Ni 0.0000 0.0000 0.5000
Bi 0.5000 0.5000 0.0000

Compound: CdAgP2O6
Source: Alexandria
Functional: PBE
Structure: optimized geometry

Results
For the magnetic moment, the calculation gives 0.00 μB/f.u. The value obtained for the total energy is -0.22172 hartree per atom.

Unit cell a=8.1670 b=8.1670 c=4.7487 alpha=106.48 beta=106.48 gamma=83.59
Fractional coordinates of all 20 atoms:
Cd 0.2137 0.7863 0.7500
Cd 0.7863 0.2137 0.2500
Ag 0.0605 0.9395 0.2500
Ag 0.9395 0.0605 0.7500
P 0.2015 0.3794 0.2454
P 0.3794 0.2015 0.7454
P 0.6206 0.7985 0.2546
P 0.7985 0.6206 0.7546
O 0.0156 0.3407 0.1776
O 0.2490 0.3223 0.9220
O 0.2571 0.5586 0.4003
O 0.3223 0.2490 0.4220
O 0.3407 0.0156 0.6776
O 0.4414 0.7429 0.0997
O 0.5586 0.2571 0.9003
O 0.6593 0.9844 0.3224
O 0.6777 0.7510 0.5780
O 0.7429 0.4414 0.5997
O 0.7510 0.6777 0.0780
O 0.9844 0.6593 0.8224